# 1
## BaDyCuTe3 (PBEsol)

Data for BaDyCuTe3 after structural relaxation.

* E_form (uncorrected): -7.4 eV/f.u.

a b c (Å): 4.361 7.654 11.230
angles (deg): 90.00 90.00 106.55
Element x y z (fractional)
Te  0.138  0.276  0.940
Ba  0.250  0.500  0.250
Cu  0.033  0.066  0.750
Dy  0.500  0.000  0.000
Te  0.138  0.276  0.560
Te  0.570  0.140  0.250
Te  0.430  0.860  0.750
Dy  0.500  0.000  0.500
Te  0.862  0.724  0.440
Te  0.862  0.724  0.060
Cu  0.967  0.934  0.250
Ba  0.750  0.500  0.750

---

# 2
## MgIn3 (PBEsol)

Data for MgIn3 after structural relaxation.

* final energy: -10.8 eV per cell

a b c (Å): 3.690 5.202 6.003
angles (deg): 115.68 107.90 90.00
Element x y z (fractional)
Mg  0.000  0.500  0.000
In  0.254  0.254  0.508
In  0.746  0.746  0.492
In  0.500  0.000  0.000

---

# 3
## HfTlTe2 (PBEsol)

Data for HfTlTe2 after structural relaxation.

* E_form (uncorrected): -2.4 eV/f.u.

a b c (Å): 3.896 3.896 8.748
angles (deg): 90.00 90.00 120.00
Element x y z (fractional)
Tl  0.000  0.000  0.000
Te  0.667  0.333  0.703
Hf  0.000  0.000  0.500
Te  0.333  0.667  0.297

---

# 4
## Ce3Ga4Cl (PBEsol)

Data for Ce3Ga4Cl after structural relaxation.

* E_form (uncorrected): -7.0 eV/f.u.

a b c (Å): 7.790 7.790 7.790
angles (deg): 90.90 119.48 119.48
Each line ends with the local moment (μB).
Element x y z (fractional)
Ga  0.788  0.338  0.838  0.47
Ga  0.500  0.838  0.050  0.69
Ga  0.500  0.162  0.950  0.69
Ce  0.181  0.340  0.840  -0.01
Ga  0.212  0.050  0.550  -0.01
Ga  0.500  0.450  0.662  0.69
Cl  0.000  0.000  0.000  -0.01
Ga  0.212  0.662  0.162  -0.01
Ce  0.500  0.160  0.340  -0.01
Ce  0.000  0.250  0.250  -0.01
Ce  0.819  0.660  0.160  -0.01
Ce  0.000  0.750  0.750  -0.01
Ga  0.500  0.550  0.338  0.47
Ga  0.788  0.950  0.450  0.69
Cl  0.000  0.500  0.500  -0.01
Ce  0.500  0.840  0.660  -0.01

---

# 5
## LiAl2Se (PBEsol)

Data for LiAl2Se after structural relaxation.

* E_form (uncorrected): -0.4 eV/f.u.

a b c (Å): 3.620 3.620 5.322
angles (deg): 90.00 90.00 90.00
Element x y z (fractional)
Al  0.000  0.000  0.753
Se  0.500  0.500  0.500
Al  0.000  0.000  0.247
Li  0.500  0.500  0.000

---

# 6
## Sc2TaCuCl (PBEsol)

Data for Sc2TaCuCl after structural relaxation.

* E_form (uncorrected): 3.8 eV/f.u.

a b c (Å): 4.574 5.171 5.171
angles (deg): 90.00 90.00 90.00
Element x y z (fractional)
Ta  0.000  0.000  0.000
Sc  0.000  0.500  0.000
Sc  0.000  0.000  0.500
Cl  0.500  0.000  0.000
Cu  0.500  0.500  0.500

---

# 7
## SrTlMo (PBEsol)

Data for SrTlMo after structural relaxation.

* energy above the lowest structure with this stoichiometry: 0.0 meV per atom

a b c (Å): 4.946 4.946 4.946
angles (deg): 60.00 60.00 60.00
Each line ends with the local moment (μB).
Element x y z (fractional)
Sr  0.000  0.000  0.000  0.10
Tl  0.500  0.500  0.500  -0.10
Mo  0.250  0.250  0.250  2.75

---

# 8
## K2MgAsI (PBEsol)

Data for K2MgAsI after structural relaxation.

* E_form (uncorrected): 1.6 eV/f.u.

a b c (Å): 5.488 6.671 6.671
angles (deg): 90.00 90.00 90.00
Each line ends with the local moment (μB).
Element x y z (fractional)
Mg  0.000  0.000  0.000  0.00
K  0.000  0.500  0.000  0.00
As  0.500  0.500  0.500  0.61
K  0.000  0.000  0.500  0.00
I  0.500  0.000  0.000  0.01

---

# 9
## PbINO2 (PBEsol)

Data for PbINO2 after structural relaxation.

* E_form (uncorrected): 1.0 eV/f.u.

a b c (Å): 4.195 4.195 4.193
angles (deg): 90.00 90.00 90.00
Element x y z (fractional)
N  0.000  0.000  0.500
I  0.000  0.000  0.000
O  0.500  0.000  0.000
O  0.000  0.500  0.000
Pb  0.500  0.500  0.500

---

# 10
## K2AgMo (PBEsol)

Data for K2AgMo after structural relaxation.

* energy above the lowest structure with this stoichiometry: 0.0 meV per atom

a b c (Å): 2.856 2.856 11.518
angles (deg): 90.00 90.00 109.19
Element x y z (fractional)
K  0.000  0.000  0.254
K  0.000  0.000  0.746
Ag  0.500  0.500  0.500
Mo  0.500  0.500  0.000

---

# 11
## KTi2Sb2 (PBEsol)

Data for KTi2Sb2 after structural relaxation.

* E_form (uncorrected): 0.2 eV/f.u.

a b c (Å): 5.252 5.252 6.028
angles (deg): 115.83 115.83 90.00
Each line ends with the local moment (μB).
Element x y z (fractional)
Ti  0.357  0.357  0.713  1.20
K  0.000  0.000  0.000  0.01
Sb  0.750  0.250  0.500  -0.06
Ti  0.643  0.643  0.287  1.20
Sb  0.250  0.750  0.500  -0.06

---

# 12
## ScCd2Rh (PBEsol)

Data for ScCd2Rh after structural relaxation.

* final energy: -18.8 eV per cell

a b c (Å): 3.277 3.277 6.807
angles (deg): 90.00 90.00 90.00
Element x y z (fractional)
Sc  0.000  0.000  0.290
Rh  0.500  0.500  0.480
Cd  0.000  0.000  0.731
Cd  0.500  0.500  0.999

---

What did the second record say?
## MgIn3 (PBEsol)

Data for MgIn3 after structural relaxation.

* final energy: -10.8 eV per cell

a b c (Å): 3.690 5.202 6.003
angles (deg): 115.68 107.90 90.00
Element x y z (fractional)
Mg  0.000  0.500  0.000
In  0.254  0.254  0.508
In  0.746  0.746  0.492
In  0.500  0.000  0.000